No. 1
Density functional theory data (GGA-PBE) for a relaxed structure of ZnH18Ru2Br7N6.

Structure (POSCAR):
```
ZnH18Ru2Br7N6
1.0
9.385 0.228 0.000
-0.864 10.367 0.000
0.000 0.000 10.415
Zn H Ru Br N
2 36 4 14 12
direct
0.736 0.508 0.750
0.264 0.492 0.250
0.436 0.124 0.102
0.564 0.876 0.602
0.564 0.876 0.898
0.436 0.124 0.398
0.578 0.175 0.018
0.422 0.825 0.518
0.422 0.825 0.982
0.578 0.175 0.482
0.514 0.269 0.130
0.486 0.731 0.630
0.486 0.731 0.870
0.514 0.269 0.370
0.783 0.328 0.170
0.217 0.672 0.670
0.217 0.672 0.830
0.783 0.328 0.330
0.904 0.252 0.250
0.096 0.748 0.750
0.077 0.772 0.250
0.923 0.228 0.750
0.071 0.909 0.171
0.929 0.091 0.671
0.929 0.091 0.829
0.071 0.909 0.329
0.889 0.656 0.106
0.111 0.344 0.606
0.111 0.344 0.894
0.889 0.656 0.394
0.791 0.745 0.017
0.209 0.255 0.517
0.209 0.255 0.983
0.791 0.745 0.483
0.713 0.644 0.122
0.287 0.356 0.622
0.287 0.356 0.878
0.713 0.644 0.378
0.668 0.098 0.250
0.332 0.902 0.750
0.807 0.855 0.250
0.193 0.145 0.750
0.532 0.876 0.250
0.468 0.124 0.750
0.822 0.021 0.431
0.178 0.979 0.931
0.178 0.979 0.569
0.822 0.021 0.069
0.474 0.510 0.750
0.526 0.490 0.250
0.813 0.739 0.750
0.187 0.261 0.250
0.825 0.395 0.935
0.175 0.605 0.435
0.175 0.605 0.065
0.825 0.395 0.565
0.533 0.175 0.108
0.467 0.825 0.608
0.467 0.825 0.892
0.533 0.175 0.392
0.798 0.272 0.250
0.202 0.728 0.750
0.032 0.860 0.250
0.968 0.140 0.750
0.799 0.708 0.108
0.201 0.292 0.608
0.201 0.292 0.892
0.799 0.708 0.392
```

Summary:
E (eV/cell): -317.10
SG: No. 11
Mass density (g/cm³): 3.04
Total magnetization (Bohr magnetons per cell): 1.78

No. 2
Density functional theory data (GGA-PBE) for a relaxed structure of Er4InSe2.

Structure (POSCAR):
```
Er4InSe2
1.0
4.011 0.000 0.000
-2.006 6.679 0.000
0.000 0.000 13.747
Er In Se
8 2 4
direct
0.230 0.461 0.624
0.770 0.539 0.376
0.770 0.539 0.124
0.230 0.461 0.876
0.927 0.855 0.750
0.073 0.145 0.250
0.500 0.000 0.000
0.500 0.000 0.500
0.398 0.795 0.250
0.602 0.205 0.750
0.863 0.727 0.943
0.137 0.273 0.057
0.863 0.727 0.557
0.137 0.273 0.443
```

Summary:
E (eV/cell): -71.47
SG: No. 63
Raw formation energy (eV/atom): -1.1111
Mass density (g/cm³): 8.49
Total magnetization (Bohr magnetons per cell): 0.00

No. 3
Density functional theory data (GGA-PBE) for a relaxed structure of Sr6Tl2O.

Structure (POSCAR):
```
Sr6Tl2O
1.0
-7.276 -1.095 2.514
-1.288 -4.838 -5.835
3.250 -8.015 5.929
Sr Tl O
12 4 2
direct
0.927 0.998 0.259
0.770 0.753 0.540
0.745 0.733 0.960
0.755 0.233 0.540
0.730 0.253 0.960
0.573 0.498 0.241
0.073 0.002 0.741
0.230 0.247 0.460
0.255 0.267 0.040
0.245 0.767 0.460
0.270 0.747 0.040
0.427 0.502 0.759
0.997 0.492 0.750
0.503 0.992 0.750
0.497 0.008 0.250
0.003 0.508 0.250
0.500 0.500 0.000
0.000 0.000 0.500
```

Summary:
E (eV/cell): -53.69
SG: No. 14
Raw formation energy (eV/atom): -0.7848
Mass density (g/cm³): 5.04
Total magnetization (Bohr magnetons per cell): 2.18

No. 4
Density functional theory data (GGA-PBE) for a relaxed structure of BaY2O.

Structure (POSCAR):
```
BaY2O
1.0
0.000 3.671 3.671
3.671 0.000 3.671
3.671 3.671 0.000
Y Ba O
2 1 1
direct
0.250 0.250 0.250
0.750 0.750 0.750
0.500 0.500 0.500
0.000 0.000 0.000
```

Summary:
Energy relative to the lowest polymorph listed for this composition (kJ per mole of atoms): 171.4
E (eV/cell): -18.00
SG: No. 225
Raw formation energy (eV/atom): 0.4527
Mass density (g/cm³): 5.56
Total magnetization (Bohr magnetons per cell): 0.00